Version A
The following is a PBE calculation of an optimized crystal structure of CuN2F2, from the Alexandria database.

a b c (Å): 3.8717 3.8717 3.7947
angles (deg): 90.00 90.00 90.00
Element x y z (fractional)
1 Cu 0.0000 0.0000 0.0000
2 N 0.0000 0.5000 0.0000
3 N 0.5000 0.0000 0.0000
4 F 0.0000 0.0000 0.5000
5 F 0.5000 0.5000 0.5000

Calculated values
total moment	3.517	μB per formula unit
symmetry	P4/mmm, No. 123



Version B
The following is a PBE calculation of an optimized crystal structure of CuN2F2, from the Alexandria database.

a b c (Å): 3.6039 3.6039 8.2343
angles (deg): 102.44 102.44 48.85
Element x y z (fractional)
1 Cu 0.0000 0.0000 0.0000
2 N 0.0214 0.0214 0.4386
3 N 0.9786 0.9786 0.5614
4 F 0.3371 0.3371 0.8849
5 F 0.6629 0.6629 0.1151

Calculated values
total moment	1.000	μB per formula unit
symmetry	C2/m, No. 12



Version C
The following is a PBE calculation of an optimized crystal structure of CuN2F2, from the Alexandria database.

a b c (Å): 3.5435 3.5435 4.7476
angles (deg): 90.00 90.00 90.00
Element x y z (fractional)
1 Cu 0.0000 0.0000 0.0000
2 N 0.0000 0.5000 0.5000
3 N 0.5000 0.0000 0.5000
4 F 0.5000 0.5000 0.0000
5 F 0.5000 0.5000 0.5000

Calculated values
total moment	3.176	μB per formula unit
symmetry	P4/mmm, No. 123



Version D
The following is a PBE calculation of an optimized crystal structure of CuN2F2, from the Alexandria database.

a b c (Å): 3.8064 3.8064 4.0360
angles (deg): 90.00 90.00 90.00
Element x y z (fractional)
1 Cu 0.0000 0.0000 0.0000
2 N 0.0000 0.0000 0.5000
3 N 0.5000 0.5000 0.5000
4 F 0.0000 0.5000 0.0000
5 F 0.5000 0.0000 0.0000

Calculated values
total moment	0.822	μB per formula unit
symmetry	P4/mmm, No. 123



Most stable: version B. Least stable: version C.



Version A
The following is a PBE calculation of an optimized crystal structure of CuNF2, from the Alexandria database.

a b c (Å): 3.7809 3.7809 3.7809
angles (deg): 60.00 60.00 60.00
Element x y z (fractional)
1 Cu 0.0000 0.0000 0.0000
2 N 0.5000 0.5000 0.5000
3 F 0.2500 0.2500 0.2500
4 F 0.7500 0.7500 0.7500

Calculated values
total moment	0.002	μB per formula unit
symmetry	Fm-3m, No. 225



Version B
The following is a PBE calculation of an optimized crystal structure of CuNF2, from the Alexandria database.

a b c (Å): 6.5765 6.5765 6.5765
angles (deg): 24.93 24.93 24.93
Element x y z (fractional)
1 Cu 0.0000 0.0000 0.0000
2 N 0.5000 0.5000 0.5000
3 F 0.4047 0.4047 0.4047
4 F 0.5953 0.5953 0.5953

Calculated values
total moment	0.005	μB per formula unit
symmetry	R-3m, No. 166



Most stable: version B. Least stable: version A.



Version A
The following is a PBE calculation of an optimized crystal structure of CuNF2, from the Alexandria database.

a b c (Å): 7.0307 7.0307 7.0307
angles (deg): 24.92 24.92 24.92
Element x y z (fractional)
1 Cu 0.0000 0.0000 0.0000
2 N 0.5000 0.5000 0.5000
3 F 0.0864 0.0864 0.0864
4 F 0.9136 0.9136 0.9136

Calculated values
total moment	2.000	μB per formula unit
symmetry	R-3m, No. 166



Version B
The following is a PBE calculation of an optimized crystal structure of CuNF2, from the Alexandria database.

a b c (Å): 3.5479 3.5479 7.0451
angles (deg): 105.35 105.35 49.30
Element x y z (fractional)
1 Cu 0.0000 0.0000 0.0000
2 N 0.4994 0.4994 0.5011
3 F 0.3246 0.3246 0.8623
4 F 0.6748 0.6748 0.1386

Calculated values
total moment	3.989	μB per formula unit
symmetry	Cm, No. 8



Most stable: version B. Least stable: version A.



Version A
The following is a PBE calculation of an optimized crystal structure of CuN2F, from the Alexandria database.

a b c (Å): 5.4775 5.4775 5.4775
angles (deg): 32.87 32.87 32.87
Element x y z (fractional)
1 Cu 0.0000 0.0000 0.0000
2 N 0.3866 0.3866 0.3866
3 N 0.6134 0.6134 0.6134
4 F 0.5000 0.5000 0.5000

Calculated values
total moment	0.000	μB per formula unit
symmetry	R-3m, No. 166



Version B
The following is a PBE calculation of an optimized crystal structure of CuN2F, from the Alexandria database.

a b c (Å): 3.6450 3.6450 3.6450
angles (deg): 60.00 60.00 60.00
Element x y z (fractional)
1 Cu 0.0000 0.0000 0.0000
2 N 0.2500 0.2500 0.2500
3 N 0.7500 0.7500 0.7500
4 F 0.5000 0.5000 0.5000

Calculated values
total moment	0.000	μB per formula unit
symmetry	Fm-3m, No. 225



Most stable: version A. Least stable: version B.



Version A
The following is a PBE calculation of an optimized crystal structure of NaCuN2F, from the Alexandria database.

a b c (Å): 4.5031 4.5031 3.9636
angles (deg): 90.00 90.00 90.00
Element x y z (fractional)
1 Na 0.0000 0.0000 0.0000
2 Cu 0.5000 0.5000 0.5000
3 N 0.0000 0.5000 0.0000
4 N 0.5000 0.0000 0.0000
5 F 0.0000 0.0000 0.5000

Calculated values
total moment	5.000	μB per formula unit
symmetry	P4/mmm, No. 123



Version B
The following is a PBE calculation of an optimized crystal structure of NaCuN2F, from the Alexandria database.

a b c (Å): 3.6196 3.6196 4.9949
angles (deg): 90.00 90.00 90.00
Element x y z (fractional)
1 Na 0.0000 0.0000 0.0000
2 Cu 0.5000 0.5000 0.5000
3 N 0.0000 0.5000 0.5000
4 N 0.5000 0.0000 0.5000
5 F 0.5000 0.5000 0.0000

Calculated values
total moment	1.963	μB per formula unit
symmetry	P4/mmm, No. 123



Most stable: version B. Least stable: version A.



Version A
The following is a PBE calculation of an optimized crystal structure of NbCuNF2, from the Alexandria database.

a b c (Å): 3.4628 3.4628 6.1792
angles (deg): 90.00 90.00 90.00
Element x y z (fractional)
1 Nb 0.0000 0.0000 0.0000
2 Cu 0.5000 0.5000 0.5000
3 N 0.5000 0.5000 0.0000
4 F 0.0000 0.5000 0.5000
5 F 0.5000 0.0000 0.5000

Calculated values
total moment	1.735	μB per formula unit
symmetry	P4/mmm, No. 123



Version B
The following is a PBE calculation of an optimized crystal structure of NbCuNF2, from the Alexandria database.

a b c (Å): 4.1370 4.1370 4.0523
angles (deg): 90.00 90.00 90.00
Element x y z (fractional)
1 Nb 0.0000 0.0000 0.0000
2 Cu 0.5000 0.5000 0.5000
3 N 0.0000 0.0000 0.5000
4 F 0.0000 0.5000 0.0000
5 F 0.5000 0.0000 0.0000

Calculated values
total moment	0.000	μB per formula unit
symmetry	P4/mmm, No. 123



Most stable: version B. Least stable: version A.



Version A
The following is a PBE calculation of an optimized crystal structure of Cu2OsNF, from the Alexandria database.

a b c (Å): 3.5989 3.5989 5.5891
angles (deg): 90.00 90.00 90.00
Element x y z (fractional)
1 Cu 0.0000 0.5000 0.0000
2 Cu 0.5000 0.0000 0.0000
3 Os 0.0000 0.0000 0.5000
4 N 0.5000 0.5000 0.5000
5 F 0.0000 0.0000 0.0000

Calculated values
total moment	2.782	μB per formula unit
symmetry	P4/mmm, No. 123



Version B
The following is a PBE calculation of an optimized crystal structure of Cu2OsNF, from the Alexandria database.

a b c (Å): 4.5556 2.6708 4.9823
angles (deg): 90.00 99.60 90.00
Element x y z (fractional)
1 Cu 0.0000 0.0000 0.0000
2 Cu 0.2862 0.0000 0.4854
3 Os 0.5541 0.5000 0.1450
4 N 0.3851 0.0000 0.8744
5 F 0.8560 0.5000 0.5213

Calculated values
total moment	0.000	μB per formula unit
symmetry	Pm, No. 6



Most stable: version B. Least stable: version A.



Version A
The following is a PBE calculation of an optimized crystal structure of Cu2OsNF, from the Alexandria database.

a b c (Å): 2.7475 4.4915 5.2217
angles (deg): 111.13 90.27 90.02
Element x y z (fractional)
1 Cu 0.0000 0.0000 0.0000
2 Cu 0.0083 0.6071 0.3174
3 Os 0.4981 0.4317 0.8642
4 N 0.9966 0.5968 0.6868
5 F 0.4942 0.0367 0.4827

Calculated values
total moment	0.000	μB per formula unit
symmetry	P1, No. 1



Version B
The following is a PBE calculation of an optimized crystal structure of Cu2OsNF, from the Alexandria database.

a b c (Å): 5.2036 5.2036 4.6647
angles (deg): 105.61 105.61 29.88
Element x y z (fractional)
1 Cu 0.0000 0.0000 0.0000
2 Cu 0.7196 0.7196 0.2016
3 Os 0.1627 0.1627 0.6585
4 N 0.8005 0.8005 0.8330
5 F 0.9494 0.9494 0.4177

Calculated values
total moment	0.000	μB per formula unit
symmetry	Cm, No. 8



Most stable: version B. Least stable: version A.